Record 1
# Ba3SrRu

A geometry-optimized Ba3SrRu structure (PBE-GGA, Alexandria via LeMat-Bulk).

a b c (Å): 6.1498 6.1498 6.1498
angles (deg): 90.00 90.00 90.00
With the nearest neighbours (Å) after each atom.
Space group Pm-3m (No. 221)
Asymmetric unit:
1 Ba 0.0000 0.0000 0.5000 x3  2 Ru 3.07
2 Sr 0.5000 0.5000 0.5000 x1  12 Ba 4.35
3 Ru 0.0000 0.0000 0.0000 x1  6 Ba 3.07

Raw total energy   -3.1252 eV/atom
Magnetization   0.0 μB per formula unit
Crystal system   cubic
DOS at the Fermi energy   6.48 states/eV/cell
Energy of formation from the pure elements   220 meV/atom

Record 2
# BaSr2Ru

A geometry-optimized BaSr2Ru structure (PBE-GGA, Alexandria via LeMat-Bulk).

a b c (Å): 8.0656 8.0656 8.0656
angles (deg): 90.00 90.00 90.00
With the nearest neighbours (Å) after each atom.
Space group Fm-3m (No. 225)
Asymmetric unit:
1 Ba 0.0000 0.0000 0.0000 x4  8 Sr 3.49
2 Sr 0.2500 0.2500 0.2500 x8  4 Ba 3.49, 4 Ru 3.49
3 Ru 0.0000 0.0000 0.5000 x4  8 Sr 3.49

Raw total energy   -3.0838 eV/atom
Magnetization   0.0 μB per formula unit
Crystal system   cubic
DOS at the Fermi energy   8.97 states/eV/cell
ΔE to the lowest computed polymorph   0.207 eV/atom
Energy of formation from the pure elements   557 meV/atom

Record 3
# BaSr2Ru

A geometry-optimized BaSr2Ru structure (PBE-GGA, Alexandria via LeMat-Bulk).

a b c (Å): 5.1229 5.1229 5.1564
angles (deg): 90.00 90.00 90.00
With the nearest neighbours (Å) after each atom.
Space group P4/mmm (No. 123)
Asymmetric unit:
1 Ba 0.0000 0.0000 0.0000 x1  4 Ru 3.62, 8 Sr 3.63
2 Sr 0.0000 0.5000 0.5000 x2  4 Sr 3.62, 4 Ba 3.63, 4 Ru 3.63
3 Ru 0.5000 0.5000 0.0000 x1  4 Ba 3.62, 8 Sr 3.63

Raw total energy   -3.0576 eV/atom
Magnetization   0.0 μB per formula unit
Crystal system   tetragonal
DOS at the Fermi energy   2.57 states/eV/cell
ΔE to the lowest computed polymorph   0.233 eV/atom
Energy of formation from the pure elements   583 meV/atom

Record 4
# BaSrRu3

A geometry-optimized BaSrRu3 structure (PBE-GGA, Alexandria via LeMat-Bulk).

a b c (Å): 5.1355 5.1355 5.1355
angles (deg): 90.00 90.00 90.00
With the nearest neighbours (Å) after each atom.
Space group Pm-3m (No. 221)
Asymmetric unit:
1 Ba 0.0000 0.0000 0.0000 x1  12 Ru 3.63
2 Sr 0.5000 0.5000 0.5000 x1  6 Ru 2.57
3 Ru 0.0000 0.5000 0.5000 x3  2 Sr 2.57

Raw total energy   -4.3948 eV/atom
Magnetization   3.9 μB per formula unit
Crystal system   cubic
DOS at the Fermi energy   12.40 states/eV/cell
ΔE to the lowest computed polymorph   0.000 eV/atom
Energy of formation from the pure elements   1892 meV/atom

Record 5
# BaSr2Ru

A geometry-optimized BaSr2Ru structure (PBE-GGA, Alexandria via LeMat-Bulk).

a b c (Å): 6.9880 11.6862 3.8792
angles (deg): 90.00 116.59 90.00
With the nearest neighbours (Å) after each atom.
Space group C2/m (No. 12)
Asymmetric unit:
1 Ba 0.0000 0.0000 0.0000 x2  4 Ru 3.49-3.89, 4 Sr 3.51, 2 Ba 3.88
2 Sr 0.2500 0.2500 0.5000 x4  6 Sr 3.49-3.89, 2 Ba 3.51, 2 Ru 3.51
3 Ru 0.0000 0.5000 0.0000 x2  4 Ba 3.49-3.89, 4 Sr 3.51, 2 Ru 3.88

Raw total energy   -2.8474 eV/atom
Magnetization   0.5 μB per formula unit
Crystal system   monoclinic
DOS at the Fermi energy   13.72 states/eV/cell
ΔE to the lowest computed polymorph   0.443 eV/atom
Energy of formation from the pure elements   793 meV/atom

Record 6
# BaSr4Ru

A geometry-optimized BaSr4Ru structure (PBE-GGA, Alexandria via LeMat-Bulk).

a b c (Å): 10.5027 10.5027 10.5027
angles (deg): 90.00 90.00 90.00
With the nearest neighbours (Å) after each atom.
Space group F-43m (No. 216)
Asymmetric unit:
1 Ba 0.0000 0.0000 0.0000 x4  12 Sr 4.36, 4 Ru 4.55
2 Sr 0.1239 0.1239 0.3761 x16  6 Sr 3.68-3.74
3 Ru 0.2500 0.2500 0.7500 x4  12 Sr 4.35, 4 Ba 4.55

Raw total energy   -2.0966 eV/atom
Magnetization   2.4 μB per formula unit
Crystal system   cubic
DOS at the Fermi energy   47.90 states/eV/cell
Energy of formation from the pure elements   891 meV/atom

Record 7
# BaSr2Ru

A geometry-optimized BaSr2Ru structure (PBE-GGA, Alexandria via LeMat-Bulk).

a b c (Å): 3.7681 3.7966 10.6644
angles (deg): 90.00 90.05 90.00
With the nearest neighbours (Å) after each atom.
Space group P2/m (No. 10)
Asymmetric unit:
1 Ba 0.0000 0.0000 0.0000 x1  4 Ba 3.77-3.80
2 Sr 0.4998 0.5000 0.3387 x2  4 Ru 3.18, 1 Sr 3.44
3 Ru 0.0000 0.0000 0.5000 x1  8 Sr 3.18

Raw total energy   -3.2713 eV/atom
Magnetization   0.0 μB per formula unit
Crystal system   monoclinic
DOS at the Fermi energy   6.43 states/eV/cell
ΔE to the lowest computed polymorph   0.019 eV/atom
Energy of formation from the pure elements   369 meV/atom

Record 8
# Ba4SrRu

A geometry-optimized Ba4SrRu structure (PBE-GGA, Alexandria via LeMat-Bulk).

a b c (Å): 10.4352 10.4352 10.4352
angles (deg): 90.00 90.00 90.00
With the nearest neighbours (Å) after each atom.
Space group F-43m (No. 216)
Asymmetric unit:
1 Ba 0.1228 0.1228 0.1228 x16  6 Ba 3.62-3.76
2 Sr 0.0000 0.0000 0.5000 x4  12 Ba 4.33, 4 Ru 4.52
3 Ru 0.2500 0.2500 0.7500 x4  12 Ba 4.32, 4 Sr 4.52

Raw total energy   -2.1768 eV/atom
Magnetization   0.6 μB per formula unit
Crystal system   cubic
DOS at the Fermi energy   56.22 states/eV/cell
Energy of formation from the pure elements   931 meV/atom

Record 9
# BaSr2Ru

A geometry-optimized BaSr2Ru structure (PBE-GGA, Alexandria via LeMat-Bulk).

a b c (Å): 3.7949 3.7949 10.6982
angles (deg): 90.00 90.00 90.00
With the nearest neighbours (Å) after each atom.
Space group P4mm (No. 99)
Asymmetric unit:
1 Ba 0.0000 0.0000 0.0000 x1  4 Ru 3.26, 1 Sr 3.57
2 Sr 0.0000 0.0000 0.3337 x1  4 Ru 3.19, 1 Ba 3.57
3 Sr 0.5000 0.5000 0.6560 x1  4 Sr 3.79
4 Ru 0.5000 0.5000 0.1725 x1  4 Sr 3.19, 4 Ba 3.26

Raw total energy   -3.2756 eV/atom
Magnetization   0.0 μB per formula unit
Crystal system   tetragonal
DOS at the Fermi energy   3.43 states/eV/cell
ΔE to the lowest computed polymorph   0.015 eV/atom
Energy of formation from the pure elements   365 meV/atom

Record 10
# BaSr2Ru

A geometry-optimized BaSr2Ru structure (PBE-GGA, Alexandria via LeMat-Bulk).

a b c (Å): 8.4223 8.4223 11.9364
angles (deg): 90.00 90.00 90.00
With the nearest neighbours (Å) after each atom.
Space group I4_1/amd (No. 141, origin choice 2)
Asymmetric unit:
1 Ba 0.0000 0.2500 0.3750 x4  12 Sr 4.94-4.95, 4 Ba 5.16, 4 Ru 5.16
2 Sr 0.0000 0.0000 0.0000 x8  2 Ru 2.58
3 Ru 0.0000 0.2500 0.8750 x4  4 Sr 2.58

Raw total energy   -3.0240 eV/atom
Magnetization   0.0 μB per formula unit
Crystal system   tetragonal
DOS at the Fermi energy   4.28 states/eV/cell
ΔE to the lowest computed polymorph   0.266 eV/atom
Energy of formation from the pure elements   617 meV/atom

Record 11
# BaSr2Ru

A geometry-optimized BaSr2Ru structure (PBE-GGA, Alexandria via LeMat-Bulk).

a b c (Å): 3.7416 5.5901 15.3357
angles (deg): 90.00 90.00 90.00
With the nearest neighbours (Å) after each atom.
Space group Imm2 (No. 44)
Asymmetric unit:
1 Ba 0.0000 0.0000 0.0000 x2  2 Ru 3.06
2 Sr 0.0000 0.0000 0.3154 x2  2 Ru 3.06
3 Sr 0.0000 0.5000 0.1590 x2  4 Ru 3.36, 4 Sr 3.68-3.74, 2 Ba 3.71
4 Ru 0.0000 0.5000 0.6577 x2  6 Sr 3.06-3.36, 2 Ba 3.06

Raw total energy   -3.2903 eV/atom
Magnetization   0.0 μB per formula unit
Crystal system   orthorhombic
DOS at the Fermi energy   8.51 states/eV/cell
ΔE to the lowest computed polymorph   0.000 eV/atom
Energy of formation from the pure elements   350 meV/atom

Record 12
# BaSr3Ru

A geometry-optimized BaSr3Ru structure (PBE-GGA, Alexandria via LeMat-Bulk).

a b c (Å): 5.9850 5.9850 5.9850
angles (deg): 90.00 90.00 90.00
With the nearest neighbours (Å) after each atom.
Space group Pm-3m (No. 221)
Asymmetric unit:
1 Ba 0.0000 0.0000 0.0000 x1  12 Sr 4.23
2 Sr 0.0000 0.5000 0.5000 x3  2 Ru 2.99
3 Ru 0.5000 0.5000 0.5000 x1  6 Sr 2.99

Raw total energy   -3.0260 eV/atom
Magnetization   0.0 μB per formula unit
Crystal system   cubic
DOS at the Fermi energy   9.94 states/eV/cell
ΔE to the lowest computed polymorph   0.000 eV/atom
Energy of formation from the pure elements   223 meV/atom

Record 13
# BaSr3Ru

A geometry-optimized BaSr3Ru structure (PBE-GGA, Alexandria via LeMat-Bulk).

a b c (Å): 6.0888 6.0888 6.0888
angles (deg): 90.00 90.00 90.00
With the nearest neighbours (Å) after each atom.
Space group Pm-3m (No. 221)
Asymmetric unit:
1 Ba 0.0000 0.0000 0.0000 x1  6 Sr 3.04
2 Sr 0.0000 0.0000 0.5000 x3  2 Ba 3.04
3 Ru 0.5000 0.5000 0.5000 x1  12 Sr 4.31

Raw total energy   -1.5432 eV/atom
Magnetization   2.7 μB per formula unit
Crystal system   cubic
DOS at the Fermi energy   8.06 states/eV/cell
ΔE to the lowest computed polymorph   1.483 eV/atom
Energy of formation from the pure elements   1706 meV/atom

Record 14
# BaSrRu3

A geometry-optimized BaSrRu3 structure (PBE-GGA, Alexandria via LeMat-Bulk).

a b c (Å): 5.1516 5.1516 5.1516
angles (deg): 90.00 90.00 90.00
With the nearest neighbours (Å) after each atom.
Space group Pm-3m (No. 221)
Asymmetric unit:
1 Ba 0.0000 0.0000 0.0000 x1  6 Ru 2.58
2 Sr 0.5000 0.5000 0.5000 x1  12 Ru 3.64
3 Ru 0.0000 0.0000 0.5000 x3  2 Ba 2.58

Raw total energy   -4.3707 eV/atom
Magnetization   3.6 μB per formula unit
Crystal system   cubic
DOS at the Fermi energy   13.61 states/eV/cell
ΔE to the lowest computed polymorph   0.024 eV/atom
Energy of formation from the pure elements   1916 meV/atom